Record 1
Below is a relaxed structure of TiFe2O4, with properties calculated at the GGA-PBEsol level.

Properties
Uncorrected formation energy ... -1.659 eV/atom
Energy relative to the lowest polymorph listed for this composition ... 131 meV/atom

Structure (POSCAR):
```
TiFe2O4
1.0
-3.833 3.149 -2.790
-2.485 -1.872 -4.766
-6.465 -4.447 6.890
O Ti Fe
16 4 8
Cartesian
-7.283 -3.034 -1.007
-6.171 -0.620 -2.592
-3.387 -0.299 -1.508
-6.539 0.532 -5.696
-5.500 -0.136 0.341
-6.244 -3.703 5.030
-8.573 -2.255 3.678
-9.396 -2.872 0.842
-3.032 -1.403 1.615
-8.097 -0.703 0.059
-4.210 -0.915 -4.344
-4.686 -2.467 -0.726
-4.696 1.593 -3.506
-8.087 -4.764 2.840
-6.612 -2.551 1.926
-9.751 -1.768 -2.281
-4.484 -1.558 -2.482
0.000 0.000 0.000
-8.299 -1.613 1.816
-3.233 -2.224 3.445
-3.159 0.638 -3.778
-6.419 -2.045 3.933
-6.391 -1.585 -0.333
-6.364 -1.125 -4.600
-10.133 -1.350 -0.368
-4.475 -3.160 1.062
-1.917 1.575 -1.395
-2.650 -1.821 -0.298
```

=====

Record 2
Below is a relaxed structure of Ti3Fe9O16, with properties calculated at the GGA-PBEsol level.

Properties
Uncorrected formation energy ... -1.644 eV/atom

Structure (POSCAR):
```
Ti3Fe9O16
1.0
-3.006 4.727 1.787
-6.788 -3.220 -2.900
-1.929 -5.055 10.126
O Ti Fe
32 6 18
Cartesian
-4.114 -0.909 10.249
-5.893 -4.740 7.860
-3.525 -5.737 9.245
-8.103 -3.834 6.184
-3.619 0.286 2.829
-6.946 -1.210 1.190
-9.818 -1.456 2.244
-5.133 -3.423 10.093
-4.195 -0.909 5.019
-9.191 -0.152 -0.295
-2.090 -2.070 1.960
-8.191 -4.014 1.277
-5.192 -2.538 -2.019
-2.531 -3.397 9.308
-7.527 -2.640 3.994
-6.130 -5.054 3.056
-2.586 -3.221 4.170
-4.451 -0.977 0.333
-5.474 -3.593 0.296
-4.776 -2.338 7.823
-4.805 -2.243 2.943
-3.242 -4.682 6.930
-1.905 -2.093 6.769
-5.494 -3.544 5.224
-6.918 -1.305 6.070
-6.627 -6.206 5.266
-3.532 0.465 7.736
-6.589 -0.125 -1.080
-5.830 1.191 1.153
-7.272 -2.572 8.680
-7.609 -2.639 -1.236
-6.229 -0.005 3.789
-7.122 -4.352 -0.468
-1.594 -3.923 7.694
-4.897 0.753 -0.557
-0.964 -2.528 5.063
-6.434 -3.020 6.837
-5.288 -0.529 2.176
-3.614 -1.215 6.808
0.000 0.000 0.000
-9.190 -4.942 7.286
-4.178 -4.059 8.521
-5.997 -6.478 7.047
-2.532 1.394 1.727
-7.110 -4.431 4.617
-8.606 -2.078 5.506
-5.861 -1.774 4.507
-2.720 -1.797 0.179
-7.545 0.510 0.492
-3.778 -4.344 5.134
-8.109 -2.333 2.205
-5.687 -1.685 9.419
-6.035 -1.864 -0.406
-4.612 0.882 4.396
-4.939 -3.932 2.091
-3.116 -1.471 3.507
```

=====

Record 3
Below is a relaxed structure of TiFe2O4, with properties calculated at the GGA-PBEsol level.

Properties
Uncorrected formation energy ... -1.790 eV/atom
Energy relative to the lowest polymorph listed for this composition ... 0 meV/atom

Structure (POSCAR):
```
TiFe2O4
1.0
-0.407 2.512 -5.338
-2.284 -5.185 1.010
-2.304 4.826 2.447
O Fe Ti
8 4 2
Cartesian
-1.836 -0.816 -0.120
-3.233 -1.933 -2.301
-3.158 2.969 -1.763
-1.761 4.086 0.419
-2.939 1.617 1.110
-4.234 0.162 -1.239
-2.055 0.535 -2.992
-0.761 1.990 -0.643
-4.019 1.888 -0.443
-0.975 0.264 -1.439
-1.152 2.413 1.223
-1.355 3.669 -1.446
-2.294 -0.180 1.728
-1.142 -2.593 0.505
```

=====

Record 4
Below is a relaxed structure of Ti3FeO, with properties calculated at the GGA-PBEsol level.

Properties
Uncorrected formation energy ... 0.501 eV/atom

Structure (POSCAR):
```
Ti3FeO
1.0
-1.564 -0.593 4.039
3.510 -2.404 1.006
2.084 3.603 1.336
Ti Fe O
3 1 1
Cartesian
-0.782 -0.297 2.019
1.042 1.801 0.668
1.755 -1.202 0.503
0.000 0.000 0.000
2.015 0.303 3.190
```

=====

Record 5
Below is a relaxed structure of TiFe2O4, with properties calculated at the GGA-PBEsol level.

Properties
Uncorrected formation energy ... -1.757 eV/atom
Energy relative to the lowest polymorph listed for this composition ... 33 meV/atom

Structure (POSCAR):
```
TiFe2O4
1.0
-0.493 1.199 2.603
-4.092 0.659 -2.703
-3.745 -9.051 3.462
O Fe Ti
8 4 2
Cartesian
-3.305 -2.911 0.716
-8.039 -7.758 2.053
-3.062 -6.518 2.424
-6.012 -6.666 3.558
-5.122 -0.323 0.803
-2.128 -3.876 3.007
-2.484 -0.294 -0.335
-4.723 -4.185 2.659
-2.117 -1.975 2.134
-4.996 -2.209 1.696
-4.554 -7.934 2.794
-6.643 -6.259 1.626
-3.304 -4.844 1.607
-3.695 0.866 0.525
```

=====

Record 6
Below is a relaxed structure of TlFeO2, with properties calculated at the GGA-PBEsol level.

Properties
Uncorrected formation energy ... -0.855 eV/atom

Structure (POSCAR):
```
TlFeO2
1.0
5.774 0.000 0.000
-2.887 4.782 0.198
0.000 3.288 4.746
O Tl Fe
4 2 2
Cartesian
0.719 4.820 1.928
4.330 2.838 2.421
-0.719 6.464 4.301
1.443 2.019 1.238
0.000 0.000 0.000
2.887 4.858 3.658
0.000 3.213 1.286
2.887 1.644 2.373
```

=====

Record 7
Below is a relaxed structure of TlFeO3, with properties calculated at the GGA-PBEsol level.

Properties
Uncorrected formation energy ... -0.930 eV/atom

Structure (POSCAR):
```
TlFeO3
1.0
5.324 0.000 0.000
0.000 5.345 0.000
0.000 0.000 7.540
Tl O Fe
4 12 4
Cartesian
5.277 5.169 1.885
2.709 2.496 1.885
2.615 2.849 5.655
0.047 0.177 5.655
3.803 3.827 3.414
3.803 3.827 0.356
1.521 1.518 4.126
0.479 2.777 1.885
1.141 4.191 7.184
4.184 1.155 0.356
1.521 1.518 7.184
4.845 2.568 5.655
2.183 0.104 1.885
4.184 1.155 3.414
1.141 4.191 4.126
3.141 5.241 5.655
0.000 2.673 0.000
2.662 0.000 0.000
2.662 0.000 3.770
0.000 2.673 3.770
```

=====

Record 8
Below is a relaxed structure of TlFe2O, with properties calculated at the GGA-PBEsol level.

Properties
Uncorrected formation energy ... 0.624 eV/atom

Structure (POSCAR):
```
TlFe2O
1.0
4.237 0.000 0.000
2.119 3.670 0.000
2.119 1.223 3.460
O Fe Tl
1 2 1
Cartesian
0.000 0.000 0.000
6.356 3.670 2.595
2.119 1.223 0.865
4.237 2.446 1.730
```

=====

Record 9
Below is a relaxed structure of ZrTlFeO2, with properties calculated at the GGA-PBEsol level.

Properties
Uncorrected formation energy ... -0.193 eV/atom

Structure (POSCAR):
```
ZrTlFeO2
1.0
-0.626 0.143 3.851
-1.122 -3.739 -0.044
4.743 -1.434 0.824
Fe O Tl Zr
1 2 1 1
Cartesian
0.000 0.000 0.000
-0.561 -1.869 -0.022
-0.313 0.071 1.925
2.372 -0.717 0.412
1.497 -2.515 2.315
```

=====

Record 10
Below is a relaxed structure of Tm3Fe5O12, with properties calculated at the GGA-PBEsol level.

Properties
Uncorrected formation energy ... -2.147 eV/atom

Structure (POSCAR):
```
Tm3Fe5O12
1.0
-3.634 -2.793 9.367
3.443 -8.448 -5.053
7.839 6.774 1.190
O Tm Fe
48 12 20
Cartesian
4.418 1.546 0.746
6.884 -0.629 -0.492
2.066 -2.969 -1.124
7.158 -3.000 4.378
3.566 -3.345 6.364
4.216 3.022 8.902
2.392 -8.191 -0.953
5.525 -6.062 2.098
9.512 -2.158 -3.319
3.115 -0.592 2.072
3.432 -7.489 -3.398
8.052 -2.320 1.870
1.835 -8.113 4.992
5.660 -2.749 -1.987
3.851 1.215 5.219
0.764 -3.837 5.997
3.406 -7.849 3.024
1.158 -4.849 3.380
-0.928 -1.485 6.376
3.606 -4.528 -2.393
5.583 -1.498 6.629
1.988 -1.717 7.492
4.082 -1.121 -0.859
5.813 3.647 0.512
4.734 -1.062 3.961
1.556 0.162 5.417
3.798 -5.682 0.286
3.230 -6.013 4.758
4.534 -3.874 3.433
6.092 -4.629 0.088
4.043 0.061 7.898
6.491 0.382 2.125
5.257 3.724 6.458
6.206 2.128 3.937
2.123 1.595 3.407
-0.404 -2.147 3.634
2.402 -2.047 4.018
0.491 -1.466 1.127
9.006 1.096 -0.223
2.914 -3.404 1.544
8.577 -2.982 -0.871
5.247 -2.420 1.487
-1.864 -2.309 8.824
7.819 2.536 2.027
-1.358 -5.563 5.728
4.242 3.383 2.481
-0.170 -7.002 3.478
1.442 -6.595 1.568
3.465 -1.029 5.875
6.716 1.563 0.169
0.932 -6.030 5.336
-1.339 -3.709 7.082
4.397 1.075 2.994
1.267 -8.640 2.753
6.621 -4.057 2.326
1.027 -0.410 3.179
3.251 -5.541 2.511
6.381 4.173 2.752
8.987 -0.758 -1.577
4.183 -3.438 -0.370
0.000 0.000 0.000
3.130 1.581 8.458
5.641 -0.837 -1.931
6.668 -1.247 1.248
1.363 -3.019 0.596
3.824 -2.233 2.752
4.518 -6.047 -2.953
1.722 -4.224 -2.526
4.302 -4.546 5.151
5.449 2.070 5.633
0.980 -3.220 4.257
6.286 -1.447 4.909
0.645 -0.610 6.840
-1.817 -1.396 4.684
3.346 0.079 0.354
2.200 -6.536 -0.128
2.103 1.991 5.279
-0.095 -5.620 2.157
3.919 3.387 0.595
7.004 -3.856 -1.335
```

=====

Record 11
Below is a relaxed structure of VFeO4, with properties calculated at the GGA-PBEsol level.

Properties
Uncorrected formation energy ... -1.810 eV/atom

Structure (POSCAR):
```
VFeO4
1.0
-0.190 4.652 -1.527
-2.713 -3.004 -2.761
-4.539 0.942 3.435
O V Fe
8 2 2
Cartesian
-3.262 3.052 -0.062
-4.179 -0.462 -0.791
-5.560 1.764 -0.563
-5.306 3.476 1.485
-3.198 1.573 -2.235
-2.136 -0.886 -2.338
-4.243 1.017 1.382
-1.882 0.826 -0.290
-3.478 -1.647 -1.721
-3.964 4.237 0.868
-1.451 0.824 -2.144
-3.721 1.295 -0.426
```

=====

Record 12
Below is a relaxed structure of V2FeO6, with properties calculated at the GGA-PBEsol level.

Properties
Uncorrected formation energy ... -2.029 eV/atom

Structure (POSCAR):
```
V2FeO6
1.0
5.717 0.003 0.003
1.731 6.417 0.059
1.731 0.215 6.414
O V Fe
12 4 2
Cartesian
3.776 2.492 2.232
6.634 2.294 2.438
5.318 1.238 0.227
3.752 2.590 5.876
5.427 4.046 0.600
5.403 4.144 4.244
3.860 5.398 6.249
2.544 4.342 4.038
2.568 0.697 4.028
6.611 5.939 2.448
6.719 6.380 5.246
2.460 0.255 1.231
2.426 1.392 2.513
3.894 4.088 5.144
6.753 5.244 3.963
5.285 2.548 1.332
6.019 5.901 0.593
3.160 0.735 5.883
```

=====

Record 13
Below is a relaxed structure of Fe3WO, with properties calculated at the GGA-PBEsol level.

Properties
Uncorrected formation energy ... 2.125 eV/atom

Structure (POSCAR):
```
Fe3WO
1.0
-0.831 -2.785 3.324
3.912 -1.942 -0.648
1.871 2.823 2.833
W O Fe
1 1 3
Cartesian
0.000 0.000 0.000
2.476 -0.952 2.754
0.935 1.412 1.416
-0.416 -1.392 1.662
1.956 -0.971 -0.324
```

=====

Record 14
Below is a relaxed structure of FeWO3, with properties calculated at the GGA-PBEsol level.

Properties
Uncorrected formation energy ... -0.191 eV/atom

Structure (POSCAR):
```
FeWO3
1.0
3.654 0.000 0.000
0.000 3.654 0.000
0.000 0.000 3.654
O Fe W
3 1 1
Cartesian
0.000 0.000 1.827
0.000 1.827 0.000
1.827 0.000 0.000
0.000 0.000 0.000
1.827 1.827 1.827
```

=====

Record 15
Below is a relaxed structure of FeWO2, with properties calculated at the GGA-PBEsol level.

Properties
Uncorrected formation energy ... -1.061 eV/atom

Structure (POSCAR):
```
FeWO2
1.0
-2.360 1.342 0.352
-2.311 -1.393 0.462
-0.431 0.262 6.750
Fe W O
1 1 2
Cartesian
0.000 0.000 0.000
-2.551 0.106 3.782
-4.347 0.029 2.674
-0.754 0.182 4.889
```

=====

Record 16
Below is a relaxed structure of YFe2O4, with properties calculated at the GGA-PBEsol level.

Properties
Uncorrected formation energy ... -1.963 eV/atom

Structure (POSCAR):
```
YFe2O4
1.0
3.485 0.000 0.000
1.742 3.018 0.000
1.742 1.006 8.144
Y O Fe
1 4 2
Cartesian
0.000 0.000 0.000
5.227 3.018 3.087
5.227 3.018 7.122
1.742 1.006 5.057
1.742 1.006 1.022
1.742 1.006 2.959
5.227 3.018 5.185
```

=====

Spin magnetization values (in Bohr magnetons per cell) by entry order: 28.010, 36.137, 8.025, 0.002, 16.022, 9.425, 11.333, 5.504, 3.238, 68.023, 1.993, 7.999, 5.786, 0.653, 2.895, 9.043.
DOS(E_F) values (in states/eV/cell) by entry order: 15.4, 37.5, 9.3, 4.7, 5.4, 3.9, 9.0, 2.6, 3.3, 47.7, 8.1, 9.5, 5.9, 4.9, 3.1, 3.6.